No. 1
## Rb3Sb4Au2 (PBE)

Data for a geometry-optimized Rb3Sb4Au2 structure.

```
Rb3Sb4Au2
1.0
5.034 0.000 0.000
2.395 6.836 0.000
0.953 2.241 9.801
Rb Sb Au
3 4 2
Direct
0.000 0.000 0.000 Rb
0.360 0.250 0.610 Rb
0.640 0.750 0.390 Rb
0.078 0.792 0.669 Sb
0.285 0.454 0.930 Sb
0.715 0.546 0.070 Sb
0.922 0.208 0.331 Sb
0.399 0.285 0.228 Au
0.601 0.715 0.772 Au
```

Computed properties:
* DOS at the Fermi energy: 0.1831 states/eV per atom
* uncorrected formation energy: -0.3008 eV per atom



No. 2
## Rb2Sb3Au5 (PBE)

Data for a geometry-optimized Rb2Sb3Au5 structure.

```
Rb2Sb3Au5
1.0
-5.699 6.683 3.553
5.699 -6.683 3.553
5.699 6.683 -3.553
Rb Sb Au
4 6 10
Direct
0.130 0.235 0.365 Rb
0.370 0.735 0.105 Rb
0.630 0.265 0.895 Rb
0.870 0.765 0.635 Rb
0.132 0.886 0.018 Sb
0.250 0.750 0.500 Sb
0.368 0.386 0.754 Sb
0.632 0.614 0.246 Sb
0.750 0.250 0.500 Sb
0.868 0.114 0.982 Sb
0.016 0.750 0.266 Au
0.109 0.647 0.756 Au
0.250 0.250 0.000 Au
0.391 0.147 0.537 Au
0.484 0.750 0.734 Au
0.516 0.250 0.266 Au
0.609 0.853 0.463 Au
0.750 0.750 0.000 Au
0.891 0.353 0.244 Au
0.984 0.250 0.734 Au
```

Computed properties:
* DOS at the Fermi energy: 0.4055 states/eV per atom
* uncorrected formation energy: -0.2356 eV per atom



No. 3
## Rb2Sb5Au4 (PBE)

Data for a geometry-optimized Rb2Sb5Au4 structure.

```
Rb2Sb5Au4
1.0
7.204 -3.197 0.000
7.204 3.197 0.000
-6.807 0.000 7.349
Rb Sb Au
2 5 4
Direct
0.223 0.223 0.279 Rb
0.777 0.777 0.721 Rb
0.221 0.694 0.234 Sb
0.306 0.779 0.766 Sb
0.500 0.500 0.000 Sb
0.694 0.221 0.234 Sb
0.779 0.306 0.766 Sb
0.122 0.122 0.541 Au
0.251 0.251 0.906 Au
0.749 0.749 0.094 Au
0.878 0.878 0.459 Au
```

Computed properties:
* DOS at the Fermi energy: 0.3823 states/eV per atom
* uncorrected formation energy: -0.1181 eV per atom



No. 4
## Rb12SbAu6 (PBE)

Data for a geometry-optimized Rb12SbAu6 structure.

```
Rb12SbAu6
1.0
-6.031 6.031 6.031
6.031 -6.031 6.031
6.031 6.031 -6.031
Rb Sb Au
12 1 6
Direct
0.123 0.825 0.298 Rb
0.175 0.298 0.473 Rb
0.175 0.702 0.877 Rb
0.298 0.123 0.825 Rb
0.298 0.473 0.175 Rb
0.473 0.175 0.298 Rb
0.527 0.825 0.702 Rb
0.702 0.527 0.825 Rb
0.702 0.877 0.175 Rb
0.825 0.298 0.123 Rb
0.825 0.702 0.527 Rb
0.877 0.175 0.702 Rb
0.000 0.000 0.000 Sb
0.120 0.620 0.500 Au
0.380 0.500 0.880 Au
0.500 0.120 0.620 Au
0.500 0.880 0.380 Au
0.620 0.500 0.120 Au
0.880 0.380 0.500 Au
```

Computed properties:
* DOS at the Fermi energy: 0.4479 states/eV per atom
* uncorrected formation energy: -0.2353 eV per atom



No. 5
## RbSbAu2 (PBE)

Data for a geometry-optimized RbSbAu2 structure.

```
RbSbAu2
1.0
12.335 0.000 0.000
0.000 6.937 0.000
0.000 0.000 6.146
Rb Sb Au
4 4 8
Direct
0.025 0.250 0.197 Rb
0.475 0.750 0.697 Rb
0.525 0.250 0.303 Rb
0.975 0.750 0.803 Rb
0.140 0.750 0.317 Sb
0.360 0.250 0.817 Sb
0.640 0.750 0.183 Sb
0.860 0.250 0.683 Sb
0.237 0.037 0.536 Au
0.237 0.463 0.536 Au
0.263 0.537 0.036 Au
0.263 0.963 0.036 Au
0.737 0.037 0.964 Au
0.737 0.463 0.964 Au
0.763 0.537 0.464 Au
0.763 0.963 0.464 Au
```

Computed properties:
* uncorrected formation energy: -0.3407 eV per atom



No. 6
## Rb2Sb2Au5 (PBE)

Data for a geometry-optimized Rb2Sb2Au5 structure.

```
Rb2Sb2Au5
1.0
7.574 -2.315 0.000
7.574 2.315 0.000
-0.389 0.000 9.311
Rb Sb Au
2 2 5
Direct
0.096 0.096 0.225 Rb
0.904 0.904 0.775 Rb
0.352 0.352 0.338 Sb
0.648 0.648 0.662 Sb
0.217 0.217 0.567 Au
0.439 0.439 0.096 Au
0.500 0.500 0.500 Au
0.561 0.561 0.904 Au
0.783 0.783 0.433 Au
```

Computed properties:
* DOS at the Fermi energy: 0.1089 states/eV per atom
* uncorrected formation energy: -0.2677 eV per atom



No. 7
## RbSb2Au4 (PBE)

Data for a geometry-optimized RbSb2Au4 structure.

```
RbSb2Au4
1.0
8.980 0.000 0.000
0.000 8.980 0.000
0.000 0.000 4.274
Rb Sb Au
2 4 8
Direct
0.000 0.000 0.000 Rb
0.500 0.500 0.500 Rb
0.228 0.228 0.500 Sb
0.272 0.728 0.000 Sb
0.728 0.272 0.000 Sb
0.772 0.772 0.500 Sb
0.072 0.656 0.500 Au
0.156 0.428 0.000 Au
0.344 0.928 0.500 Au
0.428 0.156 0.000 Au
0.572 0.844 0.000 Au
0.656 0.072 0.500 Au
0.844 0.572 0.000 Au
0.928 0.344 0.500 Au
```

Computed properties:
* DOS at the Fermi energy: 0.6270 states/eV per atom
* uncorrected formation energy: -0.0893 eV per atom



No. 8
## RbSb5Au6 (PBE)

Data for a geometry-optimized RbSb5Au6 structure.

```
RbSb5Au6
1.0
3.375 -6.709 0.000
3.375 6.709 0.000
-3.088 0.000 6.550
Rb Sb Au
1 5 6
Direct
0.000 0.000 0.000 Rb
0.130 0.870 0.500 Sb
0.307 0.693 0.000 Sb
0.500 0.500 0.500 Sb
0.693 0.307 0.000 Sb
0.870 0.130 0.500 Sb
0.111 0.473 0.301 Au
0.332 0.332 0.792 Au
0.473 0.111 0.301 Au
0.527 0.889 0.699 Au
0.668 0.668 0.208 Au
0.889 0.527 0.699 Au
```

Computed properties:
* DOS at the Fermi energy: 0.3447 states/eV per atom
* uncorrected formation energy: -0.0655 eV per atom



What did the first record say?
## Rb3Sb4Au2 (PBE)

Data for a geometry-optimized Rb3Sb4Au2 structure.

```
Rb3Sb4Au2
1.0
5.034 0.000 0.000
2.395 6.836 0.000
0.953 2.241 9.801
Rb Sb Au
3 4 2
Direct
0.000 0.000 0.000 Rb
0.360 0.250 0.610 Rb
0.640 0.750 0.390 Rb
0.078 0.792 0.669 Sb
0.285 0.454 0.930 Sb
0.715 0.546 0.070 Sb
0.922 0.208 0.331 Sb
0.399 0.285 0.228 Au
0.601 0.715 0.772 Au
```

Computed properties:
* DOS at the Fermi energy: 0.1831 states/eV per atom
* uncorrected formation energy: -0.3008 eV per atom